No. 1
Below is a relaxed structure of Ba2CaNiI, with properties calculated at the PBE-GGA level.

abc: 6.2006 6.2006 5.3951
angles: 90.00 90.00 90.00
Closest atoms and distances in Å follow each position.
Space group P4/mmm (No. 123)
Inequivalent atoms, fractional coordinates:
1 Ba 0.0000 0.5000 0.0000 x2  2 Ni 3.10
2 Ca 0.0000 0.0000 0.5000 x1  2 Ni 2.70
3 Ni 0.0000 0.0000 0.0000 x1  2 Ca 2.70
4 I 0.5000 0.5000 0.5000 x1  8 Ba 4.11, 4 Ca 4.38

Properties
M_tot: 0.000 μB/atom
formation energy from raw total energies: -0.370 eV/atom
D(E_F): 3.36 states/eV/f.u.

---

No. 2
Below is a relaxed structure of Ba2CaIO6, with properties calculated at the PBE-GGA level.

abc: 8.6072 8.6072 8.6072
angles: 90.00 90.00 90.00
Closest atoms and distances in Å follow each position.
Space group Fm-3m (No. 225)
Inequivalent atoms, fractional coordinates:
1 Ba 0.2500 0.2500 0.2500 x8  12 O 3.05
2 Ca 0.0000 0.0000 0.0000 x4  6 O 2.29
3 I 0.0000 0.0000 0.5000 x4  6 O 2.01
4 O 0.0000 0.0000 0.2659 x24  1 I 2.01

Properties
M_tot: 0.007 μB/atom
formation energy from raw total energies: -1.974 eV/atom
D(E_F): 4.08 states/eV/f.u.

---

No. 3
Below is a relaxed structure of BaCa2IO6, with properties calculated at the PBE-GGA level.

abc: 5.9756 5.9756 15.7565
angles: 90.00 90.00 120.00
Closest atoms and distances in Å follow each position.
Space group R3 (No. 146, hexagonal axes)
Inequivalent atoms, fractional coordinates:
1 Ba 0.0000 0.0000 0.0000 x3  3 O 2.58
2 Ca 0.0000 0.0000 0.2200 x3  6 O 2.32-2.43
3 Ca 0.0000 0.0000 0.7394 x3  6 O 2.33-2.50
4 I 0.0000 0.0000 0.5328 x3  6 O 1.99-2.10
5 O 0.0310 0.3536 0.1346 x9  1 I 2.10, 1 Ca 2.33
6 O 0.1013 0.7082 0.2805 x9  1 I 1.99

Properties
M_tot: 0.105 μB/atom
formation energy from raw total energies: -1.912 eV/atom
D(E_F): 2.39 states/eV/f.u.

---

No. 4
Below is a relaxed structure of BaCaIO2, with properties calculated at the PBE-GGA level.

abc: 4.8056 4.8056 6.4722
angles: 90.00 90.00 90.00
Closest atoms and distances in Å follow each position.
Space group P4/mmm (No. 123)
Inequivalent atoms, fractional coordinates:
1 Ba 0.0000 0.0000 0.0000 x1  4 O 2.40
2 Ca 0.5000 0.5000 0.5000 x1  4 I 3.40
3 I 0.0000 0.0000 0.5000 x1  2 Ba 3.24, 4 Ca 3.40
4 O 0.0000 0.5000 0.0000 x2  2 Ba 2.40

Properties
M_tot: 0.072 μB/atom
formation energy from raw total energies: -1.028 eV/atom
D(E_F): 2.96 states/eV/f.u.

---

No. 5
Below is a relaxed structure of BaCaIO2, with properties calculated at the PBE-GGA level.

abc: 4.7170 4.7170 5.8511
angles: 90.00 90.00 90.00
Closest atoms and distances in Å follow each position.
Space group P4/mmm (No. 123)
Inequivalent atoms, fractional coordinates:
1 Ba 0.0000 0.0000 0.0000 x1  4 I 3.34
2 Ca 0.5000 0.5000 0.5000 x1  4 O 2.36
3 I 0.5000 0.5000 0.0000 x1  2 Ca 2.93
4 O 0.0000 0.5000 0.5000 x2  2 Ca 2.36

Properties
M_tot: 0.000 μB/atom
formation energy from raw total energies: -1.503 eV/atom
D(E_F): 5.43 states/eV/f.u.

---

No. 6
Below is a relaxed structure of BaCa2PbI8, with properties calculated at the PBE-GGA level.

abc: 7.4480 9.6832 7.7797
angles: 90.00 90.06 90.00
Closest atoms and distances in Å follow each position.
Space group P2/m (No. 10)
Inequivalent atoms, fractional coordinates:
1 Ba 0.0000 0.0000 0.0000 x1  6 I 3.44-3.46
2 Ca 0.5000 0.2553 0.5000 x2  6 I 3.17-3.19
3 Pb 0.0000 0.5000 0.0000 x1  6 I 3.24-3.33
4 I 0.2547 0.2641 0.1666 x4  1 Ca 3.17, 1 Pb 3.24, 1 Ba 3.44
5 I 0.2642 0.5000 0.6550 x2  2 Ca 3.19, 1 Pb 3.33
6 I 0.2764 0.0000 0.6426 x2  2 Ca 3.18, 1 Ba 3.46

Properties
M_tot: 0.000 μB/atom
formation energy from raw total energies: -1.372 eV/atom
D(E_F): 0.00 states/eV/f.u.

---

No. 7
Below is a relaxed structure of BaCaPb2I8, with properties calculated at the PBE-GGA level.

abc: 7.4325 9.8240 7.8256
angles: 90.00 90.64 90.00
Closest atoms and distances in Å follow each position.
Space group P2/m (No. 10)
Inequivalent atoms, fractional coordinates:
1 Ba 0.0000 0.0000 0.0000 x1  6 I 3.45-3.46
2 Ca 0.0000 0.5000 0.0000 x1  6 I 3.14-3.25
3 Pb 0.5000 0.2599 0.5000 x2  6 I 3.27-3.28
4 I 0.2461 0.2712 0.1561 x4  1 Ca 3.14, 1 Pb 3.27, 1 Ba 3.45
5 I 0.2492 0.5000 0.6620 x2  1 Ca 3.25, 2 Pb 3.27
6 I 0.2683 0.0000 0.6409 x2  2 Pb 3.28, 1 Ba 3.46

Properties
M_tot: 0.000 μB/atom
formation energy from raw total energies: -1.130 eV/atom
D(E_F): 0.00 states/eV/f.u.

---

No. 8
Below is a relaxed structure of Ba2CaPtI, with properties calculated at the PBE-GGA level.

abc: 6.3167 6.3167 5.5500
angles: 90.00 90.00 90.00
Closest atoms and distances in Å follow each position.
Space group P4/mmm (No. 123)
Inequivalent atoms, fractional coordinates:
1 Ba 0.0000 0.5000 0.0000 x2  2 Pt 3.16
2 Ca 0.0000 0.0000 0.5000 x1  2 Pt 2.78
3 Pt 0.0000 0.0000 0.0000 x1  2 Ca 2.78
4 I 0.5000 0.5000 0.5000 x1  8 Ba 4.20, 4 Ca 4.47

Properties
M_tot: 0.000 μB/atom
formation energy from raw total energies: -0.770 eV/atom
D(E_F): 2.92 states/eV/f.u.

---

No. 9
Below is a relaxed structure of BaCa2ReI, with properties calculated at the PBE-GGA level.

abc: 5.7326 5.7326 6.4494
angles: 90.00 90.00 90.00
Closest atoms and distances in Å follow each position.
Space group P4/mmm (No. 123)
Inequivalent atoms, fractional coordinates:
1 Ba 0.0000 0.0000 0.0000 x1  2 I 3.22
2 Ca 0.0000 0.5000 0.5000 x2  2 I 2.87
3 Re 0.5000 0.5000 0.0000 x1  4 Ba 4.05, 8 Ca 4.31
4 I 0.0000 0.0000 0.5000 x1  4 Ca 2.87

Properties
M_tot: 0.393 μB/atom
formation energy from raw total energies: 0.965 eV/atom
D(E_F): 4.33 states/eV/f.u.

---

No. 10
Below is a relaxed structure of Ba2CaRhI, with properties calculated at the PBE-GGA level.

abc: 6.1712 6.1712 5.4771
angles: 90.00 90.00 90.00
Closest atoms and distances in Å follow each position.
Space group P4/mmm (No. 123)
Inequivalent atoms, fractional coordinates:
1 Ba 0.0000 0.5000 0.0000 x2  2 Rh 3.09
2 Ca 0.0000 0.0000 0.5000 x1  2 Rh 2.74
3 Rh 0.0000 0.0000 0.0000 x1  2 Ca 2.74
4 I 0.5000 0.5000 0.5000 x1  8 Ba 4.13, 4 Ca 4.36

Properties
M_tot: 0.000 μB/atom
formation energy from raw total energies: -0.544 eV/atom
D(E_F): 4.22 states/eV/f.u.

---

No. 11
Below is a relaxed structure of BaCa2RhI, with properties calculated at the PBE-GGA level.

abc: 5.5363 5.5363 6.1934
angles: 90.00 90.00 90.00
Closest atoms and distances in Å follow each position.
Space group P4/mmm (No. 123)
Inequivalent atoms, fractional coordinates:
1 Ba 0.0000 0.0000 0.0000 x1  2 Rh 3.10
2 Ca 0.0000 0.5000 0.5000 x2  2 Rh 2.77
3 Rh 0.0000 0.0000 0.5000 x1  4 Ca 2.77, 2 Ba 3.10
4 I 0.5000 0.5000 0.0000 x1  4 Ba 3.91, 8 Ca 4.15

Properties
M_tot: 0.000 μB/atom
formation energy from raw total energies: -0.542 eV/atom
D(E_F): 3.77 states/eV/f.u.

---

No. 12
Below is a relaxed structure of BaCaRuI2, with properties calculated at the PBE-GGA level.

abc: 5.6507 5.6507 5.1216
angles: 90.00 90.00 90.00
Closest atoms and distances in Å follow each position.
Space group P4/mmm (No. 123)
Inequivalent atoms, fractional coordinates:
1 Ba 0.0000 0.0000 0.0000 x1  8 I 3.81, 4 Ca 4.00
2 Ca 0.5000 0.5000 0.0000 x1  2 Ru 2.56
3 Ru 0.5000 0.5000 0.5000 x1  2 Ca 2.56, 4 I 2.83
4 I 0.0000 0.5000 0.5000 x2  2 Ru 2.83

Properties
M_tot: 0.000 μB/atom
formation energy from raw total energies: -0.246 eV/atom
D(E_F): 3.40 states/eV/f.u.